Compound: RbPrW2O8
Source: Alexandria
Functional: GGA+U
Structure: optimized geometry

Structure (extended XYZ):
```
12
Lattice="6.214 0.000 0.000 -3.107 5.382 0.000 0.000 0.000 8.041" Properties=species:S:1:pos:R:3 pbc="T T T"
O 0.000 3.588 7.880
O -0.004 1.856 5.512
O 1.606 0.931 2.529
O -1.498 4.457 5.512
W 3.107 1.794 1.938
O 3.107 1.794 0.161
Pr 0.000 0.000 4.020
O 4.605 0.925 2.529
O 1.501 4.451 5.512
Rb 0.000 0.000 0.000
W 0.000 3.588 6.103
O 3.111 3.526 2.529
```

space-group type: P-3m1 (164)
final energy: -7.321 eV/atom
calculated density: 4.459 g cm⁻³
offset from the most stable computed form: 64 meV per atom